(1)
{"formula": "BaAgPtPb3", "functional": "PBE", "state": "optimized geometry", "formation_enthalpy_0k_ev_per_fu": -0.75, "lattice_angstrom": [[-4.777, -0.367, 5.459], [4.791, -3.685, 3.945], [0.424, 8.638, 0.951]], "species": ["Pb", "Ag", "Pt", "Pb", "Ba", "Ba", "Ag", "Pb", "Pb", "Pb", "Pt", "Pb"], "fractional_positions": [[0.500, 0.255, 0.000], [0.250, 0.404, 0.808], [0.750, 0.934, 0.867], [0.500, 0.745, 0.000], [0.250, 0.803, 0.606], [0.750, 0.197, 0.394], [0.750, 0.596, 0.192], [0.750, 0.769, 0.537], [0.250, 0.231, 0.463], [0.000, 0.745, 0.000], [0.250, 0.066, 0.133], [0.000, 0.255, 0.000]]}

(2)
{"formula": "Ba2AgPt3Pb4", "functional": "PBE", "state": "optimized geometry", "formation_enthalpy_0k_ev_per_fu": -4.61, "lattice_angstrom": [[-2.274, -4.044, 1.753], [3.532, -2.852, -1.998], [5.888, 0.740, 9.349]], "species": ["Pt", "Pb", "Ba", "Ag", "Pt", "Ba", "Pb", "Pb", "Pt", "Pb"], "fractional_positions": [[0.000, 0.500, 0.125], [0.500, 0.500, 0.000], [0.000, 0.500, 0.745], [0.500, 0.500, 0.500], [0.500, 0.000, 0.875], [0.500, 0.000, 0.255], [0.000, 0.500, 0.374], [0.500, 0.000, 0.626], [0.000, 0.000, 0.500], [0.000, 0.000, 0.000]]}

(3)
{"formula": "BaRe2AgPb", "functional": "PBE", "state": "optimized geometry", "formation_enthalpy_0k_ev_per_fu": 8.89, "lattice_angstrom": [[5.247, 0.000, 0.000], [0.000, 5.303, 0.000], [0.000, 0.000, 5.247]], "species": ["Ba", "Re", "Ag", "Re", "Pb"], "fractional_positions": [[0.500, 0.500, 0.500], [0.500, 0.000, 0.000], [0.000, 0.500, 0.000], [0.000, 0.000, 0.500], [0.000, 0.000, 0.000]]}

(4)
{"formula": "BaAg2RhPb", "functional": "PBE", "state": "optimized geometry", "formation_enthalpy_0k_ev_per_fu": -0.24, "lattice_angstrom": [[-1.478, 3.195, 4.006], [-2.545, -4.077, 2.312], [4.233, -1.210, 2.527]], "species": ["Ba", "Pb", "Ag", "Ag", "Rh"], "fractional_positions": [[0.500, 0.500, 0.500], [0.000, 0.000, 0.500], [0.000, 0.500, 0.000], [0.500, 0.000, 0.000], [0.000, 0.000, 0.000]]}

(5)
{"formula": "BaAgRhPb2", "functional": "PBE", "state": "optimized geometry", "formation_enthalpy_0k_ev_per_fu": -0.72, "lattice_angstrom": [[-2.657, -4.535, -0.095], [2.787, -1.719, 4.112], [-3.685, 2.088, 3.370]], "species": ["Rh", "Pb", "Ba", "Ag", "Pb"], "fractional_positions": [[0.000, 0.000, 0.000], [0.500, 0.000, 0.000], [0.500, 0.500, 0.500], [0.000, 0.000, 0.500], [0.000, 0.500, 0.000]]}

(6)
{"formula": "Ba2AgRhPb", "functional": "PBE", "state": "optimized geometry", "formation_enthalpy_0k_ev_per_fu": -1.01, "lattice_angstrom": [[-1.000, 4.520, 3.907], [3.634, -2.685, 4.035], [4.064, 2.579, -1.944]], "species": ["Ag", "Ba", "Pb", "Rh", "Ba"], "fractional_positions": [[0.500, 0.500, 0.500], [0.000, 0.500, 0.000], [0.000, 0.000, 0.500], [0.000, 0.000, 0.000], [0.500, 0.000, 0.000]]}

(7)
{"formula": "Ba2AgRhPb6", "functional": "PBE", "state": "optimized geometry", "formation_enthalpy_0k_ev_per_fu": -2.11, "lattice_angstrom": [[7.446, 0.000, 0.000], [3.723, 6.449, 0.000], [3.723, 2.150, 13.417]], "species": ["Ba", "Pb", "Ag", "Pb", "Pb", "Pb", "Pb", "Ba", "Pb", "Pb", "Pb", "Pb", "Ba", "Pb", "Pb", "Pb", "Rh", "Ag", "Ba", "Rh"], "fractional_positions": [[0.715, 0.715, 0.856], [0.344, 0.910, 0.401], [0.573, 0.573, 0.281], [0.221, 0.666, 0.893], [0.221, 0.221, 0.893], [0.910, 0.344, 0.401], [0.334, 0.779, 0.107], [0.110, 0.110, 0.669], [0.779, 0.334, 0.107], [0.666, 0.221, 0.893], [0.090, 0.656, 0.599], [0.344, 0.344, 0.401], [0.890, 0.890, 0.331], [0.656, 0.656, 0.599], [0.779, 0.779, 0.107], [0.656, 0.090, 0.599], [0.500, 0.500, 0.500], [0.427, 0.427, 0.719], [0.285, 0.285, 0.144], [0.000, 0.000, 0.000]]}

(8)
{"formula": "BaAgPb2S4", "functional": "PBE", "state": "optimized geometry", "raw_formation_energy_ev_per_fu": -5.89, "lattice_angstrom": [[-1.275, 0.651, 4.035], [2.855, -6.654, -0.296], [12.969, 5.422, 3.225]], "species": ["S", "S", "Pb", "Ag", "Ag", "S", "S", "S", "Ba", "S", "Pb", "Ba", "S", "Pb", "S", "Pb"], "fractional_positions": [[0.726, 0.452, 0.618], [0.274, 0.548, 0.118], [0.631, 0.261, 0.054], [0.151, 0.302, 0.250], [0.849, 0.698, 0.750], [0.000, 0.000, 0.000], [0.726, 0.452, 0.882], [0.274, 0.548, 0.382], [0.115, 0.229, 0.750], [0.444, 0.888, 0.750], [0.369, 0.739, 0.554], [0.885, 0.771, 0.250], [0.000, 0.000, 0.500], [0.631, 0.261, 0.446], [0.556, 0.112, 0.250], [0.369, 0.739, 0.946]]}

| no. | V (Å³ per atom) | total magnetization (μB per cell) |
| --- | --- | --- |
| 1 | 34.6 | 0.000 |
| 2 | 27.2 | 0.000 |
| 3 | 29.2 | 3.718 |
| 4 | 28.9 | 0.000 |
| 5 | 29.9 | 0.000 |
| 6 | 38.1 | 0.000 |
| 7 | 32.2 | 0.000 |
| 8 | 26.7 | 0.000 |